No. 1
# MgReOs2 GGA-PBE optimized geometry
data_MgReOs2
_chemical_formula_sum 'Mg2 Re2 Os4'
_cell_length_a 5.8269
_cell_length_b 7.3307
_cell_length_c 2.8004
_cell_angle_alpha 90.00
_cell_angle_beta 90.00
_cell_angle_gamma 90.00
_space_group_name_H-M_alt 'C m m m'
_space_group_IT_number 65
_space_group_name_Hall '-C 2 2'
loop_
_atom_site_label
_atom_site_fract_x
_atom_site_fract_y
_atom_site_fract_z
Mg1 0.0000 0.0000 0.0000
Re1 0.0000 0.5000 0.0000
Os1 0.2500 0.2500 0.5000
# * calculated density: 16.41 Mg/m³
# * DFT total energy: -8.81 eV/atom
# * calculated volume: 59.81 Å³/f.u.
# * formation enthalpy at 0 K: 0.32 eV per atom


No. 2
# ErScNiSn GGA-PBE optimized geometry
data_ErScNiSn
_chemical_formula_sum 'Er4 Sc4 Ni4 Sn4'
_cell_length_a 6.9638
_cell_length_b 6.9638
_cell_length_c 6.9638
_cell_angle_alpha 90.00
_cell_angle_beta 90.00
_cell_angle_gamma 90.00
_space_group_name_H-M_alt 'F -4 3 m'
_space_group_IT_number 216
_space_group_name_Hall 'F -4 2 3'
loop_
_atom_site_label
_atom_site_fract_x
_atom_site_fract_y
_atom_site_fract_z
Er1 0.0000 0.0000 0.0000
Sc1 0.0000 0.0000 0.5000
Ni1 0.2500 0.2500 0.2500
Sn1 0.2500 0.2500 0.7500
# * calculated density: 7.66 Mg/m³
# * DFT total energy: -5.62 eV/atom
# * calculated volume: 84.43 Å³/f.u.
# * formation enthalpy at 0 K: -0.45 eV per atom


No. 3
# Al4SnBi GGA-PBE optimized geometry
data_Al4SnBi
_chemical_formula_sum 'Al16 Sn4 Bi4'
_cell_length_a 8.0047
_cell_length_b 8.0047
_cell_length_c 8.0047
_cell_angle_alpha 90.00
_cell_angle_beta 90.00
_cell_angle_gamma 90.00
_space_group_name_H-M_alt 'F -4 3 m'
_space_group_IT_number 216
_space_group_name_Hall 'F -4 2 3'
loop_
_atom_site_label
_atom_site_fract_x
_atom_site_fract_y
_atom_site_fract_z
Al1 0.1247 0.1247 0.1247
Sn1 0.2500 0.2500 0.7500
Bi1 0.0000 0.0000 0.5000
# * calculated density: 5.64 Mg/m³
# * DFT total energy: -3.63 eV/atom
# * calculated volume: 128.23 Å³/f.u.
# * formation enthalpy at 0 K: 0.18 eV per atom


No. 4
# Re5P GGA-PBE optimized geometry
data_Re5P
_chemical_formula_sum 'Re10 P2'
_cell_length_a 3.9664
_cell_length_b 11.2208
_cell_length_c 3.9547
_cell_angle_alpha 90.00
_cell_angle_beta 90.00
_cell_angle_gamma 90.00
_space_group_name_H-M_alt 'C m m m'
_space_group_IT_number 65
_space_group_name_Hall '-C 2 2'
loop_
_atom_site_label
_atom_site_fract_x
_atom_site_fract_y
_atom_site_fract_z
Re1 0.0000 0.0000 0.0000
Re2 0.0000 0.1728 0.5000
Re3 0.0000 0.3355 0.0000
P1 0.0000 0.5000 0.5000
# * calculated density: 18.15 Mg/m³
# * DFT total energy: -10.98 eV/atom
# * calculated volume: 88.00 Å³/f.u.
# * E above lowest polymorph: 0.2811 eV/atom
# * formation enthalpy at 0 K: 0.29 eV per atom


No. 5
# ZrTc2Sb GGA-PBE optimized geometry
data_ZrTc2Sb
_chemical_formula_sum 'Zr1 Tc2 Sb1'
_cell_length_a 3.0954
_cell_length_b 3.0954
_cell_length_c 7.6502
_cell_angle_alpha 90.00
_cell_angle_beta 90.00
_cell_angle_gamma 90.00
_space_group_name_H-M_alt 'P 4 m m'
_space_group_IT_number 99
loop_
_space_group_symop_operation_xyz
'x,y,z'
'-y,x,z'
'-x,-y,z'
'y,-x,z'
'-x,y,z'
'y,x,z'
'x,-y,z'
'-y,-x,z'
loop_
_atom_site_label
_atom_site_fract_x
_atom_site_fract_y
_atom_site_fract_z
Zr1 0.0000 0.0000 0.0000
Tc1 0.0000 0.0000 0.5525
Tc2 0.5000 0.5000 0.7461
Sb1 0.5000 0.5000 0.3039
# * calculated density: 9.27 Mg/m³
# * DFT total energy: -8.39 eV/atom
# * calculated volume: 73.30 Å³/f.u.
# * ΔE_f (raw): -0.1 eV/f.u.


No. 6
# Y3HoTm4S8 GGA-PBE optimized geometry
data_Y3HoTm4S8
_chemical_formula_sum 'Y9 Ho3 Tm12 S24'
_cell_length_a 7.7422
_cell_length_b 7.7422
_cell_length_c 19.0493
_cell_angle_alpha 90.00
_cell_angle_beta 90.00
_cell_angle_gamma 120.00
_space_group_name_H-M_alt 'R -3 m'
_space_group_IT_number 166
_space_group_name_Hall '-R 3 2"'
loop_
_atom_site_label
_atom_site_fract_x
_atom_site_fract_y
_atom_site_fract_z
Y1 0.0000 0.5000 0.0000
Ho1 0.0000 0.0000 0.0000
Tm1 0.0000 0.0000 0.5000
Tm2 0.0000 0.5000 0.5000
S1 0.0000 0.0000 0.2474
S2 0.0015 0.5007 0.7523
# * calculated density: 6.87 Mg/m³
# * DFT total energy: -6.64 eV/atom
# * calculated volume: 329.64 Å³/f.u.
# * ΔE_f (raw): -31.3 eV/f.u.


No. 7
# LiTaAl GGA-PBE optimized geometry
data_LiTaAl
_chemical_formula_sum 'Li2 Ta2 Al2'
_cell_length_a 2.8789
_cell_length_b 5.3564
_cell_length_c 6.8860
_cell_angle_alpha 76.92
_cell_angle_beta 89.90
_cell_angle_gamma 74.61
_space_group_name_H-M_alt 'P -1'
_space_group_IT_number 2
loop_
_space_group_symop_operation_xyz
'x,y,z'
'-x,-y,-z'
loop_
_atom_site_label
_atom_site_fract_x
_atom_site_fract_y
_atom_site_fract_z
Li1 0.1898 0.1174 0.1236
Ta1 0.1401 0.2256 0.5283
Al1 0.4785 0.5435 0.1917
# * calculated density: 7.17 Mg/m³
# * DFT total energy: -5.88 eV/atom
# * calculated volume: 49.76 Å³/f.u.
# * E above lowest polymorph: 0.0000 eV/atom
# * formation enthalpy at 0 K: -0.04 eV per atom


No. 8
# SrLi4P3 GGA-PBE optimized geometry
data_SrLi4P3
_chemical_formula_sum 'Sr1 Li4 P3'
_cell_length_a 4.2464
_cell_length_b 4.2464
_cell_length_c 7.9747
_cell_angle_alpha 90.00
_cell_angle_beta 90.00
_cell_angle_gamma 90.00
_space_group_name_H-M_alt 'P 4/m m m'
_space_group_IT_number 123
_space_group_name_Hall '-P 4 2'
loop_
_atom_site_label
_atom_site_fract_x
_atom_site_fract_y
_atom_site_fract_z
Sr1 0.0000 0.0000 0.0000
Li1 0.0000 0.5000 0.3358
P1 0.0000 0.0000 0.5000
P2 0.5000 0.5000 0.1371
# * calculated density: 2.41 Mg/m³
# * DFT total energy: -3.95 eV/atom
# * calculated volume: 143.80 Å³/f.u.
# * formation enthalpy at 0 K: -0.75 eV per atom


Repeat the eighth record exactly.
# SrLi4P3 GGA-PBE optimized geometry
data_SrLi4P3
_chemical_formula_sum 'Sr1 Li4 P3'
_cell_length_a 4.2464
_cell_length_b 4.2464
_cell_length_c 7.9747
_cell_angle_alpha 90.00
_cell_angle_beta 90.00
_cell_angle_gamma 90.00
_space_group_name_H-M_alt 'P 4/m m m'
_space_group_IT_number 123
_space_group_name_Hall '-P 4 2'
loop_
_atom_site_label
_atom_site_fract_x
_atom_site_fract_y
_atom_site_fract_z
Sr1 0.0000 0.0000 0.0000
Li1 0.0000 0.5000 0.3358
P1 0.0000 0.0000 0.5000
P2 0.5000 0.5000 0.1371
# * calculated density: 2.41 Mg/m³
# * DFT total energy: -3.95 eV/atom
# * calculated volume: 143.80 Å³/f.u.
# * formation enthalpy at 0 K: -0.75 eV per atom